Record 1
Entry from the Alexandria database: a geometry-optimized TbNd8Ho6 structure (PBE-GGA).

Results
**Space group**: P-3 (147)
**Total magnetic moment**: 0.00 Bohr magnetons per cell
**ΔE_f**: 0.18 eV per atom

Lattice parameters (Å, degrees): 9.452 9.452 6.563 90.00 90.00 120.00
Element x y z (fractional)
1 Tb 0.000 0.000 0.000
2 Nd 0.037 0.750 0.668
3 Nd 0.250 0.287 0.668
4 Nd 0.287 0.037 0.332
5 Nd 0.333 0.667 0.622
6 Nd 0.667 0.333 0.378
7 Nd 0.713 0.963 0.668
8 Nd 0.750 0.713 0.332
9 Nd 0.963 0.250 0.332
10 Ho 0.095 0.656 0.158
11 Ho 0.344 0.439 0.158
12 Ho 0.439 0.095 0.842
13 Ho 0.561 0.905 0.158
14 Ho 0.656 0.561 0.842
15 Ho 0.905 0.344 0.842

Record 2
Entry from the Alexandria database: a geometry-optimized YVSn structure (PBE-GGA).

Results
**Space group**: I4mm (107)
**Total magnetic moment**: 0.00 Bohr magnetons per cell
**ΔE_f**: -0.04 eV per atom

Lattice parameters (Å, degrees): 3.571 3.571 10.370 90.00 90.00 90.00
Element x y z (fractional)
1 Y 0.000 0.000 0.000
2 Y 0.500 0.500 0.500
3 V 0.000 0.000 0.320
4 V 0.500 0.500 0.820
5 Sn 0.000 0.000 0.699
6 Sn 0.500 0.500 0.199

Record 3
Entry from the Alexandria database: a geometry-optimized KCrN structure (PBE-GGA).

Results
**Space group**: P1 (1)
**Total magnetic moment**: 0.00 Bohr magnetons per cell
**Formation energy from raw total energies**: 0.067 eV/atom

Lattice parameters (Å, degrees): 3.520 5.147 6.793 102.42 94.67 101.79
Element x y z (fractional)
1 K 0.000 0.000 0.000
2 K 0.226 0.410 0.666
3 Cr 0.484 0.864 0.376
4 Cr 0.722 0.505 0.249
5 N 0.213 0.575 0.168
6 N 0.637 0.206 0.350

Record 4
Entry from the Alexandria database: a geometry-optimized NaCaZn2F8 structure (PBE-GGA).

Results
**Space group**: I-4 (82)
**Total magnetic moment**: 1.14 Bohr magnetons per cell
**Formation energy from raw total energies**: -2.573 eV/atom

Lattice parameters (Å, degrees): 6.712 6.712 6.712 132.55 132.55 69.37
Element x y z (fractional)
1 Na 0.000 0.000 0.000
2 Ca 0.250 0.750 0.500
3 Zn 0.500 0.500 0.000
4 Zn 0.750 0.250 0.500
5 F 0.014 0.075 0.431
6 F 0.242 0.675 0.086
7 F 0.325 0.412 0.568
8 F 0.416 0.986 0.060
9 F 0.588 0.156 0.914
10 F 0.644 0.584 0.569
11 F 0.844 0.758 0.432
12 F 0.925 0.356 0.940

Going through the records in order, we get E_tot values of -67.60 -39.38 -37.69 -51.71 eV for the cell shown.